1.
The following is a DFT calculation (PBE-GGA) of a relaxed structure of HfZr2Cu4Si4.

```
HfZr2Cu4Si4
1.0
7.464 -0.152 1.084
3.896 6.430 0.619
-5.360 -4.646 2.568
Zr Cu Hf Si
2 4 1 4
Cartesian
3.539 3.253 2.234
2.461 -1.620 2.037
1.596 1.035 2.583
8.252 2.724 2.266
-2.252 -1.092 2.006
4.404 0.597 1.689
0.000 0.000 0.000
2.440 1.349 0.366
-0.086 -0.580 2.715
6.086 2.213 1.557
8.919 4.929 1.337
```

Calculated values
* symmetry: Immm
* crystal system: orthorhombic
* final energy: -69.65 eV/cell



2.
The following is a DFT calculation (PBE-GGA) of a relaxed structure of HfZrCuSi.

```
HfZrCuSi
1.0
0.000 3.262 3.262
3.262 0.000 3.262
3.262 3.262 0.000
Zr Cu Si Hf
1 1 1 1
Cartesian
1.631 1.631 1.631
4.894 4.894 4.894
0.000 0.000 0.000
3.262 3.262 3.262
```

Calculated values
* symmetry: F-43m
* crystal system: cubic
* final energy: -26.69 eV/cell
* energy above the most stable polymorph in this dataset: 0 meV/atom



3.
The following is a DFT calculation (PBE-GGA) of a relaxed structure of Hf3Cu4Sn4.

```
Hf3Cu4Sn4
1.0
0.000 6.148 0.000
-6.148 0.000 0.000
-3.074 3.074 6.146
Cu Sn Hf
4 4 3
Cartesian
-4.628 4.628 4.614
-4.595 1.553 1.532
-7.669 7.669 4.614
-1.553 4.595 1.532
-3.074 0.000 0.000
0.000 3.074 0.000
-3.074 3.074 3.176
-6.148 6.148 2.970
-3.074 6.148 3.073
-6.148 3.074 3.073
-3.074 3.074 0.000
```

Calculated values
* symmetry: I-42m
* crystal system: tetragonal
* final energy: -62.89 eV/cell
* energy above the most stable polymorph in this dataset: 0 meV/atom



4.
The following is a DFT calculation (PBE-GGA) of a relaxed structure of HfCuSn.

```
HfCuSn
1.0
-1.168 4.426 4.646
-0.505 -6.360 1.354
4.408 -0.095 1.198
Cu Hf Sn
3 3 3
Cartesian
-1.292 -1.494 4.634
-0.266 1.008 1.058
-0.115 -1.449 0.308
1.601 2.236 2.996
1.394 -0.984 3.504
1.944 -3.329 1.298
-0.726 -2.765 2.451
2.204 -0.047 0.599
-0.947 0.830 3.549
```

Calculated values
* symmetry: P-62m
* crystal system: hexagonal
* final energy: -54.97 eV/cell



5.
The following is a DFT calculation (PBE-GGA) of a relaxed structure of Hf2CuSn.

```
Hf2CuSn
1.0
0.000 3.412 3.412
3.412 0.000 3.412
3.412 3.412 0.000
Hf Cu Sn
2 1 1
Cartesian
0.000 0.000 0.000
5.118 5.118 5.118
1.706 1.706 1.706
3.412 3.412 3.412
```

Calculated values
* symmetry: F-43m
* crystal system: cubic
* final energy: -26.47 eV/cell



6.
The following is a DFT calculation (PBE-GGA) of a relaxed structure of HfCuSn.

```
HfCuSn
1.0
7.922 0.000 0.000
-3.961 6.861 0.000
0.000 0.000 3.240
Hf Sn Cu
3 3 3
Cartesian
2.784 4.821 0.000
-1.177 2.039 0.000
2.355 0.000 0.000
0.000 0.000 1.620
0.000 4.574 0.000
3.961 2.287 0.000
-2.481 4.297 1.620
1.480 2.563 1.620
4.962 0.000 1.620
```

Calculated values
* symmetry: P-62m
* crystal system: hexagonal
* final energy: -51.78 eV/cell



In the order shown, the computed V values come out to 14.96 17.36 21.12 18.70 19.87 19.57 Å³ per atom.